# 1
Density functional theory data (GGA-PBE) for a relaxed structure of SrEuGe4.

Cell: 8.220 8.220 8.220 Å, 90.00 90.00 90.00°
Space group F-43m (No. 216)
Inequivalent atoms, fractional coordinates:
Sr 0.000 0.000 0.000 x4
Eu 0.250 0.250 0.250 x4
Ge 0.122 0.122 0.622 x16

Energy (eV per cell): -132.093

---

# 2
Density functional theory data (GGA-PBE) for a relaxed structure of SrEu2Ge.

Cell: 3.877 3.877 9.767 Å, 90.00 90.00 90.00°
Space group P4/mmm (No. 123)
Inequivalent atoms, fractional coordinates:
Sr 0.000 0.000 0.000 x1
Eu 0.500 0.500 0.330 x2
Ge 0.000 0.000 0.500 x1

Energy (eV per cell): -28.031

---

# 3
Density functional theory data (GGA-PBE) for a relaxed structure of Sr2Eu3Ge10.

Cell: 4.1786 4.1786 24.6594 Å, 90.00 90.00 120.00°
Space group P-3m1 (No. 164)
Inequivalent atoms, fractional coordinates:
Sr 0.0000 0.0000 0.1044 x2
Eu 0.0000 0.0000 0.3058 x2
Eu 0.0000 0.0000 0.5000 x1
Ge 0.3333 0.6667 0.1885 x2
Ge 0.3333 0.6667 0.3840 x2
Ge 0.3333 0.6667 0.5781 x2
Ge 0.3333 0.6667 0.7723 x2
Ge 0.3333 0.6667 0.9799 x2

Energy (eV per cell): -88.241

---

# 4
Density functional theory data (GGA-PBE) for a relaxed structure of SrEu3Ge.

Cell: 6.030 6.030 6.030 Å, 90.00 90.00 90.00°
Space group Pm-3m (No. 221)
Inequivalent atoms, fractional coordinates:
Sr 0.000 0.000 0.000 x1
Eu 0.000 0.500 0.500 x3
Ge 0.500 0.500 0.500 x1

Energy (eV per cell): -38.087

---

# 5
Density functional theory data (GGA-PBE) for a relaxed structure of SrEuGe2.

Cell: 4.930 4.930 4.357 Å, 90.00 90.00 90.00°
Space group P4/mmm (No. 123)
Inequivalent atoms, fractional coordinates:
Sr 0.000 0.000 0.000 x1
Eu 0.500 0.500 0.000 x1
Ge 0.000 0.500 0.500 x2

Energy (eV per cell): -23.050

---

# 6
Density functional theory data (GGA-PBE) for a relaxed structure of SrEuGe2.

Cell: 4.010 4.010 6.849 Å, 90.00 90.00 90.00°
Space group P4/mmm (No. 123)
Inequivalent atoms, fractional coordinates:
Sr 0.000 0.000 0.000 x1
Eu 0.000 0.000 0.500 x1
Ge 0.500 0.500 0.305 x2

Energy (eV per cell): -23.160

---

# 7
Density functional theory data (GGA-PBE) for a relaxed structure of SrEuTlGe.

Cell: 7.852 7.852 7.852 Å, 90.00 90.00 90.00°
Space group F-43m (No. 216)
Inequivalent atoms, fractional coordinates:
Sr 0.000 0.000 0.000 x4
Eu 0.000 0.000 0.500 x4
Tl 0.250 0.250 0.250 x4
Ge 0.250 0.250 0.750 x4

Energy (eV per cell): -82.639

---

# 8
Density functional theory data (GGA-PBE) for a relaxed structure of SrEuZnGe.

Cell: 7.602 7.602 7.602 Å, 90.00 90.00 90.00°
Space group F-43m (No. 216)
Inequivalent atoms, fractional coordinates:
Sr 0.000 0.000 0.000 x4
Eu 0.000 0.000 0.500 x4
Zn 0.250 0.250 0.250 x4
Ge 0.250 0.250 0.750 x4

Energy (eV per cell): -78.509

---

# 9
Density functional theory data (GGA-PBE) for a relaxed structure of EuTaGe2.

Cell: 3.531 3.531 6.548 Å, 90.00 90.00 90.00°
Space group P4/mmm (No. 123)
Inequivalent atoms, fractional coordinates:
Eu 0.000 0.000 0.000 x1
Ta 0.000 0.000 0.500 x1
Ge 0.500 0.500 0.303 x2

Energy (eV per cell): -32.418

---

# 10
Density functional theory data (GGA-PBE) for a relaxed structure of EuTaGe2.

Cell: 3.8328 3.8328 21.0418 Å, 90.00 90.00 120.00°
Space group R-3m (No. 166, hexagonal axes)
Inequivalent atoms, fractional coordinates:
Eu 0.0000 0.0000 0.0000 x3
Ta 0.0000 0.0000 0.5000 x3
Ge 0.0000 0.0000 0.2371 x6

Energy (eV per cell): -97.278

---

# 11
Density functional theory data (GGA-PBE) for a relaxed structure of TbEuGe2.

Cell: 3.8827 3.8827 24.5945 Å, 90.00 90.00 120.00°
Space group R-3m (No. 166, hexagonal axes)
Inequivalent atoms, fractional coordinates:
Tb 0.0000 0.0000 0.0000 x3
Eu 0.0000 0.0000 0.5000 x3
Ge 0.0000 0.0000 0.2528 x6

ΔE to the lowest computed polymorph (eV per atom): 0.128
Energy (eV per cell): -78.090

---

# 12
Density functional theory data (GGA-PBE) for a relaxed structure of TbEuGe4.

Cell: 8.056 8.056 8.056 Å, 90.00 90.00 90.00°
Space group F-43m (No. 216)
Inequivalent atoms, fractional coordinates:
Tb 0.000 0.000 0.000 x4
Eu 0.250 0.250 0.250 x4
Ge 0.126 0.126 0.626 x16

Energy (eV per cell): -142.377

---

# 13
Density functional theory data (GGA-PBE) for a relaxed structure of Tb2EuGe.

Cell: 4.0749 4.0749 28.9589 Å, 90.00 90.00 120.00°
Space group R-3m (No. 166, hexagonal axes)
Inequivalent atoms, fractional coordinates:
Tb 0.0000 0.0000 0.2223 x6
Eu 0.0000 0.0000 0.0000 x3
Ge 0.0000 0.0000 0.5000 x3

Energy (eV per cell): -75.608

---

# 14
Density functional theory data (GGA-PBE) for a relaxed structure of TbEuGe2.

Cell: 3.403 3.403 8.276 Å, 90.00 90.00 90.00°
Space group P4/mmm (No. 123)
Inequivalent atoms, fractional coordinates:
Tb 0.000 0.000 0.000 x1
Eu 0.000 0.000 0.500 x1
Ge 0.500 0.500 0.241 x2

ΔE to the lowest computed polymorph (eV per atom): 0.000
Energy (eV per cell): -26.541

---

# 15
Density functional theory data (GGA-PBE) for a relaxed structure of EuTcGe2.

Cell: 4.2314 4.2314 15.9283 Å, 90.00 90.00 120.00°
Space group R-3m (No. 166, hexagonal axes)
Inequivalent atoms, fractional coordinates:
Eu 0.0000 0.0000 0.0000 x3
Tc 0.0000 0.0000 0.5000 x3
Ge 0.0000 0.0000 0.2171 x6

Energy (eV per cell): -93.486

---

# 16
Density functional theory data (GGA-PBE) for a relaxed structure of EuTcGe2.

Cell: 3.241 3.241 7.147 Å, 90.00 90.00 90.00°
Space group P4/mmm (No. 123)
Inequivalent atoms, fractional coordinates:
Eu 0.000 0.000 0.000 x1
Tc 0.000 0.000 0.500 x1
Ge 0.500 0.500 0.308 x2

Energy (eV per cell): -31.156

---

# 17
Density functional theory data (GGA-PBE) for a relaxed structure of Eu2GeTe.

Cell: 4.3227 4.3227 23.7679 Å, 90.00 90.00 120.00°
Space group R-3m (No. 166, hexagonal axes)
Inequivalent atoms, fractional coordinates:
Eu 0.0000 0.0000 0.2478 x6
Ge 0.0000 0.0000 0.5000 x3
Te 0.0000 0.0000 0.0000 x3

ΔE_f (raw) (eV per formula unit): -3.8
Energy (eV per cell): -96.414

---

# 18
Density functional theory data (GGA-PBE) for a relaxed structure of Eu3Ge5Te12.

Cell: 17.575 17.575 17.575 Å, 90.00 90.00 90.00°
Space group Ia-3d (No. 230)
Inequivalent atoms, fractional coordinates:
Eu 0.000 0.250 0.125 x24
Ge 0.000 0.000 0.000 x16
Ge 0.000 0.250 0.375 x24
Te 0.027 0.060 0.651 x96

ΔE_f (raw) (eV per formula unit): -9.5
Energy (eV per cell): -808.847

---

# 19
Density functional theory data (GGA-PBE) for a relaxed structure of EuThGe2.

Cell: 4.3623 4.3623 21.0885 Å, 90.00 90.00 120.00°
Space group R-3m (No. 166, hexagonal axes)
Inequivalent atoms, fractional coordinates:
Eu 0.0000 0.0000 0.0000 x3
Th 0.0000 0.0000 0.5000 x3
Ge 0.0000 0.0000 0.2456 x6

ΔE to the lowest computed polymorph (eV per atom): 0.049
Energy (eV per cell): -86.951

---

# 20
Density functional theory data (GGA-PBE) for a relaxed structure of EuThGe2.

Cell: 3.460 3.460 8.342 Å, 90.00 90.00 90.00°
Space group P4/mmm (No. 123)
Inequivalent atoms, fractional coordinates:
Eu 0.000 0.000 0.000 x1
Th 0.000 0.000 0.500 x1
Ge 0.500 0.500 0.252 x2

ΔE to the lowest computed polymorph (eV per atom): 0.000
Energy (eV per cell): -29.178